Record 1
Sm3Ho2Al3 | GGA-PBE | relaxed

Cell lengths 11.3745, 11.3745, 11.3745 Å; angles 161.23, 153.32, 32.82 degrees
Closest atoms and distances in Å follow each position.
Atoms (fractional coordinates):
Sm1 0.0000 0.0000 0.0000  8 Al 3.19-3.21
Sm2 0.3798 0.8798 0.5000  6 Al 3.21, 2 Ho 3.56
Sm3 0.6202 0.1202 0.5000  6 Al 3.21, 2 Ho 3.56
Ho1 0.2306 0.2306 0.0000  2 Al 3.06, 4 Ho 3.32
Ho2 0.7694 0.7694 0.0000  2 Al 3.06, 4 Ho 3.32
Al1 0.1189 0.6189 0.5000  2 Ho 3.06, 6 Sm 3.19-3.21
Al2 0.5000 0.5000 0.0000  8 Sm 3.21
Al3 0.8811 0.3811 0.5000  2 Ho 3.06, 6 Sm 3.19-3.21

Calculated values
Offset from the most stable computed form (meV per atom): 0
Formation energy from the elements (eV per formula unit): -2.26
Magnetization (μB per cell): 0.0
Raw total energy (eV/atom): -4.600



Record 2
ZnIr2Rh | GGA-PBE | relaxed

Cell lengths 9.4788, 9.4788, 9.4788 Å; angles 157.44, 157.44, 32.12 degrees
Closest atoms and distances in Å follow each position.
Atoms (fractional coordinates):
Zn1 0.0000 0.0000 0.0000  4 Ir 2.62, 4 Rh 2.62
Zn2 0.7500 0.2500 0.5000  4 Ir 2.62, 4 Rh 2.62
Ir1 0.1200 0.6250 0.9950  4 Ir 2.60-2.65, 2 Zn 2.62, 2 Rh 2.63
Ir2 0.3750 0.3700 0.4950  4 Ir 2.60-2.65, 2 Zn 2.62, 2 Rh 2.63
Ir3 0.6300 0.1250 0.0050  4 Ir 2.60-2.65, 2 Zn 2.62, 2 Rh 2.63
Ir4 0.8750 0.8800 0.5050  4 Ir 2.60-2.65, 2 Zn 2.62, 2 Rh 2.63
Rh1 0.2500 0.7500 0.5000  4 Zn 2.62, 4 Ir 2.63
Rh2 0.5000 0.5000 0.0000  4 Zn 2.62, 4 Ir 2.63

Calculated values
Formation energy from the elements (eV per formula unit): 1.49
Magnetization (μB per cell): 0.0
Raw total energy (eV/atom): -6.215



Record 3
LiZn2Cd2 | GGA-PBE | relaxed

Cell lengths 8.2598, 8.2598, 2.8674 Å; angles 90.00, 90.00, 90.00 degrees
Closest atoms and distances in Å follow each position.
Atoms (fractional coordinates):
Li1 0.0000 0.0000 0.0000  2 Li 2.87, 4 Cd 3.18
Li2 0.5000 0.5000 0.0000  2 Li 2.87, 4 Cd 3.18
Zn1 0.1563 0.3437 0.5000  6 Cd 2.75-2.86, 2 Zn 2.87
Zn2 0.3437 0.8437 0.5000  6 Cd 2.75-2.86, 2 Zn 2.87
Zn3 0.6563 0.1563 0.5000  6 Cd 2.75-2.86, 2 Zn 2.87
Zn4 0.8437 0.6563 0.5000  6 Cd 2.75-2.86, 2 Zn 2.87
Cd1 0.1433 0.6433 0.0000  6 Zn 2.75-2.86, 2 Cd 2.87
Cd2 0.3567 0.1433 0.0000  6 Zn 2.75-2.86, 2 Cd 2.87
Cd3 0.6433 0.8567 0.0000  6 Zn 2.75-2.86, 2 Cd 2.87
Cd4 0.8567 0.3567 0.0000  6 Zn 2.75-2.86, 2 Cd 2.87

Calculated values
Offset from the most stable computed form (meV per atom): 85
Formation energy from the elements (eV per formula unit): 0.00
Magnetization (μB per cell): 0.0
Raw total energy (eV/atom): -1.258



Record 4
LiEr2Cu16 | GGA-PBE | relaxed

Cell lengths 6.4588, 6.4588, 6.4588 Å; angles 82.44, 82.44, 82.44 degrees
Closest atoms and distances in Å follow each position.
Atoms (fractional coordinates):
Li1 0.0000 0.0000 0.0000  7 Cu 2.42-2.70
Er1 0.4312 0.4312 0.4312  19 Cu 2.99-3.29
Er2 0.7437 0.7437 0.7437  15 Cu 2.99-3.29, 1 Li 3.22
Cu1 0.0954 0.0954 0.5926  9 Cu 2.46-2.59, 1 Li 2.63
Cu2 0.0946 0.3958 0.7940  8 Cu 2.46-2.60
Cu3 0.0954 0.5926 0.0954  9 Cu 2.46-2.59, 1 Li 2.63
Cu4 0.0946 0.7940 0.3958  8 Cu 2.46-2.60
Cu5 0.1926 0.1926 0.1926  1 Li 2.42, 6 Cu 2.59-2.66
Cu6 0.2529 0.7471 0.7471  8 Cu 2.46-2.60, 1 Li 2.70
Cu7 0.3958 0.0946 0.7940  8 Cu 2.46-2.60
Cu8 0.3958 0.7940 0.0946  8 Cu 2.46-2.60
Cu9 0.4392 0.4392 0.9385  9 Cu 2.46-2.66
Cu10 0.4392 0.9385 0.4392  9 Cu 2.46-2.66
Cu11 0.5926 0.0954 0.0954  9 Cu 2.46-2.59, 1 Li 2.63
Cu12 0.7471 0.2529 0.7471  8 Cu 2.46-2.60, 1 Li 2.70
Cu13 0.7471 0.7471 0.2529  8 Cu 2.46-2.60, 1 Li 2.70
Cu14 0.7940 0.0946 0.3958  8 Cu 2.46-2.60
Cu15 0.7940 0.3958 0.0946  8 Cu 2.46-2.60
Cu16 0.9385 0.4392 0.4392  9 Cu 2.46-2.66

Calculated values
Formation energy from the elements (eV per formula unit): -2.59
Magnetization (μB per cell): 0.0
Raw total energy (eV/atom): -4.167



Record 5
NiAsW2 | GGA-PBE | relaxed

Cell lengths 4.7558, 4.7558, 4.7558 Å; angles 131.95, 131.95, 70.31 degrees
Closest atoms and distances in Å follow each position.
Atoms (fractional coordinates):
Ni1 0.0000 0.0000 0.0000  4 As 2.74, 8 W 2.74
As1 0.5000 0.5000 0.0000  4 Ni 2.74, 8 W 2.74
W1 0.2500 0.7500 0.5000  4 W 2.74, 4 As 2.74, 4 Ni 2.74
W2 0.7500 0.2500 0.5000  4 W 2.74, 4 As 2.74, 4 Ni 2.74

Calculated values
Formation energy from the elements (eV per formula unit): 1.47
Magnetization (μB per cell): 0.0
Raw total energy (eV/atom): -8.717



Record 6
Na2TlSnSe4 | GGA-PBE | relaxed

Cell lengths 6.5699, 6.5699, 6.5699 Å; angles 107.96, 107.96, 112.54 degrees
Closest atoms and distances in Å follow each position.
Atoms (fractional coordinates):
Na1 0.0000 0.5000 0.5000  8 Se 3.17-3.54
Na2 0.5000 0.0000 0.5000  8 Se 3.17-3.54
Tl1 0.0000 0.0000 0.0000  4 Se 3.02
Sn1 0.5000 0.5000 0.0000  4 Se 2.58
Se1 0.1039 0.1039 0.6145  1 Sn 2.58
Se2 0.4894 0.4894 0.3855  1 Sn 2.58
Se3 0.5106 0.8961 0.0000  1 Sn 2.58
Se4 0.8961 0.5106 0.0000  1 Sn 2.58

Calculated values
Magnetization (μB per cell): 0.0
Raw total energy (eV/atom): -3.471
Raw formation energy (eV per atom): -0.603